[1]
First-principles (PBE+U) data for a geometry-optimized VTc2PbO8 structure, as listed in the Alexandria database.

Calculated values
symmetry = P-3 (147)

a b c (Å): 5.816 5.816 6.813
angles (deg): 90.00 90.00 120.00
Atoms (fractional coordinates):
V 0.000 0.000 0.500
Tc 0.667 0.333 0.240
Tc 0.333 0.667 0.760
Pb 0.000 0.000 0.000
O 0.333 0.667 0.019
O 0.319 0.161 0.308
O 0.839 0.158 0.308
O 0.667 0.333 0.981
O 0.161 0.842 0.692
O 0.681 0.839 0.692
O 0.158 0.319 0.692
O 0.842 0.681 0.308



[2]
First-principles (PBE+U) data for a geometry-optimized VTcPbO6 structure, as listed in the Alexandria database.

Calculated values
symmetry = C2 (5)

a b c (Å): 5.287 5.288 5.335
angles (deg): 90.99 89.03 57.57
Atoms (fractional coordinates):
V 0.660 0.660 0.500
Tc 0.341 0.341 0.500
Pb 0.012 0.012 0.000
O 0.994 0.382 0.299
O 0.382 0.994 0.701
O 0.616 0.379 0.704
O 0.007 0.610 0.701
O 0.379 0.616 0.296
O 0.610 0.007 0.299



[3]
First-principles (PBE+U) data for a geometry-optimized VTcPb2O6 structure, as listed in the Alexandria database.

Calculated values
symmetry = P4mm (99)

a b c (Å): 4.022 5.614 5.614
angles (deg): 90.00 90.00 90.00
Atoms (fractional coordinates):
V 0.645 0.500 0.500
Tc 0.645 0.000 0.000
Pb 0.143 0.500 0.000
Pb 0.143 0.000 0.500
O 0.645 0.250 0.250
O 0.645 0.250 0.750
O 0.145 0.500 0.500
O 0.145 0.000 0.000
O 0.645 0.750 0.750
O 0.645 0.750 0.250



[4]
First-principles (PBE+U) data for a geometry-optimized TcPbWO6 structure, as listed in the Alexandria database.

Calculated values
symmetry = Imma (74)

a b c (Å): 7.472 7.160 7.393
angles (deg): 118.96 120.35 90.00
Atoms (fractional coordinates):
Tc 0.500 0.500 0.000
Tc 0.500 0.000 0.000
Pb 0.965 0.715 0.930
Pb 0.035 0.285 0.070
W 0.500 0.000 0.500
W 0.000 0.000 0.500
O 0.454 0.704 0.907
O 0.814 0.064 0.628
O 0.822 0.067 0.253
O 0.431 0.686 0.253
O 0.431 0.067 0.253
O 0.822 0.686 0.253
O 0.546 0.296 0.093
O 0.186 0.936 0.372
O 0.178 0.933 0.747
O 0.569 0.314 0.747
O 0.569 0.933 0.747
O 0.178 0.314 0.747



| no. | raw total energy (eV per atom) | total magnetic moment (μB per cell) | volume (Å³/atom) |
| --- | --- | --- | --- |
| 1 | -7.337 | 5.0 | 16.6 |
| 2 | -7.211 | 2.0 | 14.0 |
| 3 | -6.898 | 0.5 | 12.7 |
| 4 | -7.129 | 1.4 | 15.7 |